A plane-wave DFT calculation with GGA-PBE was carried out for crystalline Cs2Hf2AgTe6 at its relaxed geometry.

## Properties
Its density of states at the Fermi level is 6.4 states/eV/f.u. For the uncorrected formation energy, the calculation gives -0.736 eV/atom. The total energy comes out at -51.4 eV per cell. As for the magnetic moment: 0.000 μB per atom. The symmetry is C2/m.

Unit cell a=7.287 b=7.287 c=9.465 alpha=96.99 beta=96.99 gamma=119.79
Fractional positions:
Hf 0.668 0.332 0.500
Hf 0.332 0.668 0.500
Ag 0.000 0.000 0.500
Cs 0.837 0.163 0.000
Cs 0.163 0.837 0.000
Te 0.596 0.940 0.319
Te 0.702 0.702 0.683
Te 0.298 0.298 0.317
Te 0.060 0.404 0.681
Te 0.404 0.060 0.681
Te 0.940 0.596 0.319



A plane-wave DFT calculation with GGA-PBE was carried out for crystalline Pm5HoPb4 at its relaxed geometry.

## Properties
Its density of states at the Fermi level is 7.2 states/eV/f.u. The value obtained for the energy of formation from the pure elements is -367 meV/atom. The total energy comes out at -46.8 eV per cell. As for the magnetic moment: 0.000 μB per atom. The symmetry is C2/m.

Unit cell a=5.455 b=7.324 c=11.386 alpha=129.51 beta=103.86 gamma=90.00
Fractional positions:
Pm 0.833 0.673 0.667
Pm 0.834 0.163 0.668
Pm 0.500 0.500 0.000
Pm 0.166 0.837 0.332
Pm 0.167 0.327 0.333
Ho 0.500 0.000 0.000
Pb 0.009 0.262 0.017
Pb 0.326 0.899 0.651
Pb 0.991 0.738 0.983
Pb 0.674 0.101 0.349



Q: Which formula does entry 1 have?
A: Cs2Hf2AgTe6